Record 1
Compound: YSc2Rh4
Source: Alexandria via LeMat-Bulk
Functional: PBE
Structure: optimized geometry

CIF file:
```
data_YSc2Rh4
_chemical_formula_sum 'Y3 Sc6 Rh12'
_symmetry_space_group_name_H-M 'R -3 m'
_symmetry_Int_Tables_number 166
_symmetry_space_group_name_Hall '-R 3 2"'
_cell_length_a 4.4917
_cell_length_b 4.4917
_cell_length_c 22.4489
_cell_angle_alpha 90.00
_cell_angle_beta 90.00
_cell_angle_gamma 120.00
loop_
_atom_site_label
_atom_site_type_symbol
_atom_site_fract_x
_atom_site_fract_y
_atom_site_fract_z
Y1 Y 0.0000 0.0000 0.0000
Sc1 Sc 0.0000 0.0000 0.2394
Rh1 Rh 0.0000 0.0000 0.1258
Rh2 Rh 0.0000 0.0000 0.3813
```

Output
- total moment (Bohr magnetons per cell) = 0.0
- total DFT energy (no corrections) (eV per formula unit) = -52.57
- Fermi-level density of states (states/eV per cell) = 12.18



Record 2
Compound: YScRh2
Source: Alexandria via LeMat-Bulk
Functional: PBE
Structure: optimized geometry

CIF file:
```
data_YScRh2
_chemical_formula_sum 'Y3 Sc3 Rh6'
_symmetry_space_group_name_H-M 'R 3 m'
_symmetry_Int_Tables_number 160
_symmetry_space_group_name_Hall 'R 3 -2"'
_cell_length_a 4.1178
_cell_length_b 4.1178
_cell_length_c 17.0649
_cell_angle_alpha 90.00
_cell_angle_beta 90.00
_cell_angle_gamma 120.00
loop_
_atom_site_label
_atom_site_type_symbol
_atom_site_fract_x
_atom_site_fract_y
_atom_site_fract_z
Y1 Y 0.0000 0.0000 0.0000
Sc1 Sc 0.0000 0.0000 0.1831
Rh1 Rh 0.0000 0.0000 0.5784
Rh2 Rh 0.0000 0.0000 0.7723
```

Output
- total moment (Bohr magnetons per cell) = 0.0
- total DFT energy (no corrections) (eV per formula unit) = -29.65
- Fermi-level density of states (states/eV per cell) = 6.19



Record 3
Compound: Y3ScRh
Source: Alexandria via LeMat-Bulk
Functional: PBE
Structure: optimized geometry

CIF file:
```
data_Y3ScRh
_chemical_formula_sum 'Y3 Sc1 Rh1'
_symmetry_space_group_name_H-M 'P m -3 m'
_symmetry_Int_Tables_number 221
_symmetry_space_group_name_Hall '-P 4 2 3'
_cell_length_a 5.3760
_cell_length_b 5.3760
_cell_length_c 5.3760
_cell_angle_alpha 90.00
_cell_angle_beta 90.00
_cell_angle_gamma 90.00
loop_
_atom_site_label
_atom_site_type_symbol
_atom_site_fract_x
_atom_site_fract_y
_atom_site_fract_z
Y1 Y 0.0000 0.0000 0.5000
Sc1 Sc 0.5000 0.5000 0.5000
Rh1 Rh 0.0000 0.0000 0.0000
```

Output
- total moment (Bohr magnetons per cell) = 0.0
- total DFT energy (no corrections) (eV per formula unit) = -33.73
- Fermi-level density of states (states/eV per cell) = 9.55